[1]
# RbBePb

An optimized crystal structure of RbBePb (GGA-PBE, Alexandria).

It has space group C2/m (No. 12), with a = 22.602 Å, b = 4.153 Å, c = 4.694 Å, α = 90.00°, β = 94.62° and γ = 90.00°. The asymmetric unit holds Rb at (0.102, 0.000, 0.285), Be at (0.250, 0.000, 0.612) and Pb at (0.196, 0.500, 0.848).

As for the energy of formation: 155 meV per atom. The calculated volume comes out at 439.2 Å³ per cell. The calculation puts the total DFT energy (no corrections) at -0.1944 Ry per atom. The distance to the lowest polymorph of the same formula is 14 meV/atom.

=====

[2]
# CuTcMo2

An optimized crystal structure of CuTcMo2 (GGA-PBE, Alexandria).

It has space group Cmmm (No. 65), with a = 3.178 Å, b = 4.272 Å, c = 8.714 Å, α = 90.00°, β = 90.00° and γ = 90.00°. The asymmetric unit holds Cu at (0.000, 0.000, 0.000), Tc at (0.000, 0.000, 0.500) and Mo at (0.000, 0.500, 0.247).

As for the energy of formation: 196 meV per atom. The calculated volume comes out at 118.3 Å³ per cell. The calculation puts the total DFT energy (no corrections) at -0.6494 Ry per atom. The distance to the lowest polymorph of the same formula is 51 meV/atom.

=====

[3]
# NaZn2SbPd

An optimized crystal structure of NaZn2SbPd (GGA-PBE, Alexandria).

It has space group P4/mmm (No. 123), with a = 5.285 Å, b = 5.285 Å, c = 5.079 Å, α = 90.00°, β = 90.00° and γ = 90.00°. The asymmetric unit holds Na at (0.000, 0.000, 0.000), Zn at (0.000, 0.500, 0.500), Sb at (0.500, 0.500, 0.500) and Pd at (0.500, 0.500, 0.000).

As for the uncorrected formation energy: 5.346 kcal/mol of atoms. The calculated volume comes out at 141.9 Å³ per cell. The calculation puts the total DFT energy (no corrections) at -0.1767 Ry per atom.

=====

The evaluated density of states at the Fermi level for the records listed, in turn: 3.1; 5.3; 3.7 states/eV per cell.